<1>
A plane-wave DFT calculation with PBE was carried out for a relaxed TlClF3 crystal.

```
5
Lattice="-1.069 -2.042 -3.783 4.297 -0.624 -0.877 -0.129 -3.881 2.131" Properties=species:S:1:pos:R:3 pbc="T T T"
Cl 1.549 -3.274 -1.264
F 2.148 -0.312 -0.439
F -0.535 -1.021 -1.891
F -0.064 -1.941 1.066
Tl 0.000 0.000 0.000
```

## Properties
Size of the total moment (μB per formula unit): 1.0
Space-group type: Pm-3m (221)

<2>
A plane-wave DFT calculation with PBE was carried out for a relaxed TlClF3 crystal.

```
5
Lattice="-2.491 1.389 3.411 -3.534 0.259 -2.686 -1.038 -4.216 0.958" Properties=species:S:1:pos:R:3 pbc="T T T"
Cl 0.000 0.000 0.000
F -0.519 -2.108 0.479
F -1.767 0.130 -1.343
F -1.245 0.694 1.706
Tl -3.531 -1.284 0.842
```

## Properties
Size of the total moment (μB per formula unit): 0.0
Space-group type: Pm-3m (221)

<3>
A plane-wave DFT calculation with PBE was carried out for a relaxed TlClF3 crystal.

```
20
Lattice="-1.478 1.330 5.250 -7.125 -5.833 -0.528 7.972 -3.967 3.249" Properties=species:S:1:pos:R:3 pbc="T T T"
F -6.749 -4.465 2.536
F 6.117 -4.005 5.435
Tl -1.038 0.016 4.206
F 0.210 -3.001 6.519
F -1.652 -3.891 3.820
Cl -4.119 -6.451 4.390
Cl -3.772 -3.212 0.665
F 1.334 -7.235 2.211
F 1.020 -4.579 4.151
F -5.936 -6.045 0.158
Tl 0.406 -8.486 3.765
Tl -0.615 -4.884 5.566
F 5.304 -2.425 7.813
Tl -0.017 -3.586 2.405
F 0.173 -1.671 3.471
F -0.805 -6.799 4.500
Cl 3.140 -5.258 7.306
F -0.842 -5.468 1.452
F -1.966 -1.235 5.760
Cl 3.487 -2.019 3.582
```

## Properties
Size of the total moment (μB per formula unit): 0.0
Space-group type: P2_1/c (14)

Among the structures shown above, <3> is the most stable, with the second-best lying 292 meV/atom higher.